Record 1
Density functional theory data (PBE) for a relaxed structure of BeCdRu.

Size of the total moment = 0.11 μB per cell
Density of states at the Fermi level = 2.48 states/eV/cell
Calculated formation energy = 0.935 eV per formula unit
Total energy = -4.327 eV/atom
Space group = Fmm2

Cell: 6.640 6.425 2.755 Å, 82.25 73.48 24.28°
Site moments in Bohr magnetons follow the coordinates.
Positions (direct):
Ru (0.645, 0.645, 0.355)  0.11
Cd (0.338, 0.338, 0.662)  0.00
Be (0.017, 0.017, 0.983)  0.00

Record 2
Density functional theory data (PBE) for a relaxed structure of Be2Cd2Ru.

Size of the total moment = 0.00 μB per cell
Density of states at the Fermi level = 5.54 states/eV/cell
Calculated formation energy = 1.425 eV per formula unit
Total energy = -3.427 eV/atom
Space group = P4/mbm

Cell: 6.061 6.061 3.900 Å, 90.00 90.00 90.00°
Positions (direct):
Ru (0.500, 0.500, 0.000)
Ru (0.000, 0.000, 0.000)
Be (0.363, 0.863, 0.000)
Be (0.637, 0.137, 0.000)
Be (0.863, 0.637, 0.000)
Be (0.137, 0.363, 0.000)
Cd (0.326, 0.174, 0.500)
Cd (0.174, 0.674, 0.500)
Cd (0.826, 0.326, 0.500)
Cd (0.674, 0.826, 0.500)

Record 3
Density functional theory data (PBE) for a relaxed structure of Be2CdRu2.

Size of the total moment = 0.00 μB per cell
Density of states at the Fermi level = 9.30 states/eV/cell
Calculated formation energy = 0.768 eV per formula unit
Total energy = -5.230 eV/atom
Space group = P4/mbm

Cell: 6.925 6.925 2.776 Å, 90.00 90.00 90.00°
Positions (direct):
Ru (0.128, 0.372, 0.000)
Ru (0.372, 0.872, 0.000)
Ru (0.628, 0.128, 0.000)
Ru (0.872, 0.628, 0.000)
Be (0.336, 0.164, 0.500)
Be (0.664, 0.836, 0.500)
Be (0.164, 0.664, 0.500)
Be (0.836, 0.336, 0.500)
Cd (0.500, 0.500, 0.000)
Cd (0.000, 0.000, 0.000)

Record 4
Density functional theory data (PBE) for a relaxed structure of BeCdRu2.

Size of the total moment = 0.98 μB per cell
Density of states at the Fermi level = 3.94 states/eV/cell
Calculated formation energy = 1.865 eV per formula unit
Total energy = -5.332 eV/atom
Space group = C2/m

Cell: 5.177 5.177 2.729 Å, 77.25 77.25 117.90°
Site moments in Bohr magnetons follow the coordinates.
Positions (direct):
Be (0.500, 0.000, 0.500)  -0.01
Cd (0.000, 0.500, 0.500)  0.00
Ru (0.500, 0.500, 0.000)  0.49
Ru (0.000, 0.000, 0.000)  0.49

Record 5
Density functional theory data (PBE) for a relaxed structure of Be2CdRu2.

Size of the total moment = 0.00 μB per cell
Density of states at the Fermi level = 6.44 states/eV/cell
Calculated formation energy = -0.477 eV per formula unit
Total energy = -5.479 eV/atom
Space group = P4/mbm

Cell: 6.298 6.298 3.118 Å, 90.00 90.00 90.00°
Positions (direct):
Be (0.381, 0.881, 0.000)
Be (0.119, 0.381, 0.000)
Be (0.619, 0.119, 0.000)
Be (0.881, 0.619, 0.000)
Ru (0.666, 0.834, 0.500)
Ru (0.834, 0.334, 0.500)
Ru (0.334, 0.166, 0.500)
Ru (0.166, 0.666, 0.500)
Cd (0.000, 0.000, 0.000)
Cd (0.500, 0.500, 0.000)

Record 6
Density functional theory data (PBE) for a relaxed structure of BeCdRu2.

Size of the total moment = 0.00 μB per cell
Density of states at the Fermi level = 4.22 states/eV/cell
Calculated formation energy = 1.427 eV per formula unit
Total energy = -5.442 eV/atom
Space group = I-4m2

Cell: 4.490 4.490 4.490 Å, 126.08 126.08 79.75°
Positions (direct):
Ru (0.000, 0.000, 0.000)
Ru (0.250, 0.750, 0.500)
Cd (0.750, 0.250, 0.500)
Be (0.500, 0.500, 0.000)

> Which value of size of the total moment does entry 6 give?

0.00 μB per cell

> What is the formula in the fifth record?

Be2CdRu2

Copy entry 4 word for word.
Density functional theory data (PBE) for a relaxed structure of BeCdRu2.

Size of the total moment = 0.98 μB per cell
Density of states at the Fermi level = 3.94 states/eV/cell
Calculated formation energy = 1.865 eV per formula unit
Total energy = -5.332 eV/atom
Space group = C2/m

Cell: 5.177 5.177 2.729 Å, 77.25 77.25 117.90°
Site moments in Bohr magnetons follow the coordinates.
Positions (direct):
Be (0.500, 0.000, 0.500)  -0.01
Cd (0.000, 0.500, 0.500)  0.00
Ru (0.500, 0.500, 0.000)  0.49
Ru (0.000, 0.000, 0.000)  0.49

Copy entry 6 word for word.
Density functional theory data (PBE) for a relaxed structure of BeCdRu2.

Size of the total moment = 0.00 μB per cell
Density of states at the Fermi level = 4.22 states/eV/cell
Calculated formation energy = 1.427 eV per formula unit
Total energy = -5.442 eV/atom
Space group = I-4m2

Cell: 4.490 4.490 4.490 Å, 126.08 126.08 79.75°
Positions (direct):
Ru (0.000, 0.000, 0.000)
Ru (0.250, 0.750, 0.500)
Cd (0.750, 0.250, 0.500)
Be (0.500, 0.500, 0.000)